Below is a relaxed structure of KBi3I, with properties calculated at the PBE level.

abc: 6.1366 6.1366 6.1366
angles: 90.00 90.00 90.00
Space group Pm-3m (No. 221)
Inequivalent atoms, fractional coordinates:
K 0.0000 0.0000 0.0000 (multiplicity 1)
Bi 0.0000 0.0000 0.5000 (multiplicity 3)
I 0.5000 0.5000 0.5000 (multiplicity 1)

relative energy among the computed polymorphs: 527.6 meV per atom
energy relative to the elements, uncorrected: 1.0374 eV/atom